Compound: Sb2Te2S
Source: Alexandria via LeMat-Bulk
Functional: PBE
Structure: optimized geometry

The structure in extended XYZ format:
```
10
Lattice="-3.622 -0.986 5.183 0.434 -7.377 2.851 4.161 -1.384 6.596" Properties=species:S:1:pos:R:3 pbc="T T T"
Sb 0.657 -5.126 3.435
Sb 0.315 -4.621 11.194
Sb 0.327 -7.020 6.795
Sb 0.645 -2.727 7.834
Te 2.941 -3.807 9.233
Te -1.969 -5.940 5.396
Te 2.497 -1.180 5.472
Te -1.525 -8.567 9.157
S 1.392 -4.627 6.019
S -0.420 -5.120 8.610
```

Computed properties:
Magnetic moment in μB/atom: 0.00
Uncorrected formation energy in eV per atom: -0.014

Compound: Rb2SiP
Source: Alexandria via LeMat-Bulk
Functional: PBE
Structure: optimized geometry

The structure in extended XYZ format:
```
8
Lattice="13.200 0.000 0.000 0.000 13.200 0.000 6.600 6.600 2.332" Properties=species:S:1:pos:R:3 pbc="T T T"
P 0.000 0.000 0.000
P 13.200 6.600 1.166
Si 6.600 6.600 0.000
Si 6.600 13.200 1.166
Rb 12.675 3.300 0.583
Rb 13.724 9.900 0.583
Rb 9.900 7.124 1.749
Rb 16.499 6.076 1.749
```

Computed properties:
N(E_F) in states/eV per cell: 4.87
Magnetic moment in μB/atom: 0.00
Uncorrected formation energy in eV per atom: 0.069

Compound: Al4In5
Source: Alexandria via LeMat-Bulk
Functional: PBE
Structure: optimized geometry

The structure in extended XYZ format:
```
9
Lattice="-3.738 -6.126 0.572 -0.033 7.071 1.351 -0.955 0.687 -7.102" Properties=species:S:1:pos:R:3 pbc="T T T"
Al -1.671 -1.937 -2.325
Al -3.022 -3.502 -4.204
Al -0.637 4.995 -3.703
Al -0.352 2.763 -2.048
In 0.000 0.000 0.000
In -1.253 2.725 1.094
In -2.518 -1.780 0.829
In -2.855 0.868 -1.134
In -1.871 0.764 -4.045
```

Computed properties:
N(E_F) in states/eV per cell: 4.54
Magnetic moment in μB/atom: 0.00
E_form in eV/f.u.: 1.4

Compound: NbTeS3
Source: Alexandria via LeMat-Bulk
Functional: PBE
Structure: optimized geometry

The structure in extended XYZ format:
```
5
Lattice="-4.404 -0.958 -1.715 1.796 -3.668 -2.564 -0.795 -2.980 3.707" Properties=species:S:1:pos:R:3 pbc="T T T"
Nb 0.000 0.000 0.000
Te -1.702 -3.803 -0.286
S 0.898 -1.834 -1.282
S -0.398 -1.490 1.853
S -2.202 -0.479 -0.857
```

Computed properties:
N(E_F) in states/eV per cell: 5.48
Magnetic moment in μB/atom: 0.00
Uncorrected formation energy in eV per atom: -0.055